Here is a relaxed structure of GdErCoOs from the Alexandria database. Energies are from PBE-GGA.

Unit cell a=4.7881 b=4.7881 c=4.7881 alpha=60.00 beta=60.00 gamma=60.00
With the nearest neighbours (Å) after each atom.
Fractional coordinates of all 4 atoms:
Co1 0.7500 0.7500 0.7500  4 Gd 2.93, 4 Er 2.93
Gd1 0.5000 0.5000 0.5000  4 Co 2.93, 4 Os 2.93
Os1 0.2500 0.2500 0.2500  4 Gd 2.93, 4 Er 2.93
Er1 0.0000 0.0000 0.0000  4 Co 2.93, 4 Os 2.93

## Properties
As for the energy: -0.34396 Ha/atom. As for the formation energy: -0.1149 eV/atom.